# 1
# Li2MgRu | Alexandria | GGA-PBE | optimized geometry
data_Li2MgRu
_symmetry_space_group_name_H-M 'P 4/m m m'
_symmetry_Int_Tables_number 123
_symmetry_space_group_name_Hall '-P 4 2'
_cell_length_a 3.790
_cell_length_b 3.790
_cell_length_c 4.184
_cell_angle_alpha 90.00
_cell_angle_beta 90.00
_cell_angle_gamma 90.00
loop_
_atom_site_label
_atom_site_fract_x
_atom_site_fract_y
_atom_site_fract_z
Li1 0.000 0.500 0.000
Mg1 0.000 0.000 0.500
Ru1 0.500 0.500 0.500
# Density of states at the Fermi level, states/eV per atom: 0.238
# Energy, eV/atom: -3.530
# DFT formation energy, eV per formula unit: 0.6

# 2
# Rb3Sn2Pb4 | Alexandria | GGA-PBE | optimized geometry
data_Rb3Sn2Pb4
_symmetry_space_group_name_H-M 'C 1 2/c 1'
_symmetry_Int_Tables_number 15
_cell_length_a 16.071
_cell_length_b 12.234
_cell_length_c 7.827
_cell_angle_alpha 90.00
_cell_angle_beta 104.65
_cell_angle_gamma 90.00
loop_
_symmetry_equiv_pos_as_xyz
'x,y,z'
'-x,-y,-z'
'-x,y,-z+1/2'
'x,-y,z+1/2'
'x+1/2,y+1/2,z'
'-x+1/2,-y+1/2,-z'
'-x+1/2,y+1/2,-z+1/2'
'x+1/2,-y+1/2,z+1/2'
loop_
_atom_site_label
_atom_site_fract_x
_atom_site_fract_y
_atom_site_fract_z
Rb1 0.000 0.018 0.250
Rb2 0.109 0.389 0.649
Sn1 0.209 0.130 0.946
Pb1 0.128 0.290 0.175
Pb2 0.203 0.122 0.548
# Density of states at the Fermi level, states/eV per atom: 0.368
# Energy, eV/atom: -2.975
# DFT formation energy, eV per formula unit: -1.0